# 1
Below is a relaxed structure of TmZn4Fe, with properties calculated at the PBE level.

extended XYZ file:
```
6
Lattice="0.0000 3.6047 3.6047 3.6047 0.0000 3.6047 3.6047 3.6047 0.0000" Properties=species:S:1:pos:R:3 pbc="T T T"
Tm 0.0000 0.0000 0.0000
Zn 2.7122 2.7122 2.7122
Zn 4.4971 4.4971 2.7122
Zn 4.4971 2.7122 4.4971
Zn 2.7122 4.4971 4.4971
Fe 5.4070 5.4070 5.4070
```

Its space group is F-43m. The calculation puts the size of the total moment at 1.05 μB/f.u. The value obtained for the density is 8.6 g/cm³. Its formation enthalpy at 0 K is -0.12 eV per atom. The density of states at the Fermi level is 4.6 states/eV/cell. Its volume is 15.6 Å³/atom.

---

# 2
Below is a relaxed structure of Tm3ZrFe8, with properties calculated at the PBE level.

extended XYZ file:
```
12
Lattice="2.5285 1.4598 8.2463 -2.5285 1.4598 8.2463 0.0000 -2.9196 8.2463" Properties=species:S:1:pos:R:3 pbc="T T T"
Tm 0.0000 0.0000 0.0000
Tm 0.0000 0.0000 3.0964
Tm 0.0000 0.0000 12.3786
Zr 0.0000 0.0000 15.4624
Fe -1.2684 -0.7323 9.7667
Fe 0.0000 -1.4639 5.6989
Fe -1.2678 0.7319 5.6989
Fe 0.0000 0.0000 7.7318
Fe 1.2684 -0.7323 9.7667
Fe 0.0000 1.4646 9.7667
Fe 1.2678 0.7319 5.6989
Fe 0.0000 0.0000 20.1040
```

Its space group is R3m. The calculation puts the size of the total moment at 12.69 μB/f.u. The value obtained for the density is 9.5 g/cm³. Its formation enthalpy at 0 K is -0.18 eV per atom. The density of states at the Fermi level is 12.7 states/eV/cell. Its volume is 15.2 Å³/atom.

---

# 3
Below is a relaxed structure of TmZr2Fe9, with properties calculated at the PBE level.

extended XYZ file:
```
12
Lattice="2.4899 1.4376 7.9640 -2.4899 1.4376 7.9640 0.0000 -2.8751 7.9640" Properties=species:S:1:pos:R:3 pbc="T T T"
Tm 0.0000 0.0000 0.0000
Zr 0.0000 0.0000 3.3974
Zr 0.0000 0.0000 20.4945
Fe -1.2516 -0.7226 9.9689
Fe 0.0000 0.0000 7.9511
Fe 0.0000 -1.4452 13.9231
Fe -1.2516 0.7226 13.9231
Fe 0.0000 0.0000 11.9460
Fe 1.2516 -0.7226 9.9689
Fe 0.0000 1.4452 9.9689
Fe 0.0000 0.0000 15.9409
Fe 1.2516 0.7226 13.9231
```

Its space group is R-3m. The calculation puts the size of the total moment at 16.30 μB/f.u. The value obtained for the density is 8.3 g/cm³. Its formation enthalpy at 0 K is -0.20 eV per atom. The density of states at the Fermi level is 9.9 states/eV/cell. Its volume is 14.3 Å³/atom.

---

# 4
Below is a relaxed structure of TmZrFe4, with properties calculated at the PBE level.

extended XYZ file:
```
6
Lattice="0.0000 3.5581 3.5581 3.5581 0.0000 3.5581 3.5581 3.5581 0.0000" Properties=species:S:1:pos:R:3 pbc="T T T"
Tm 0.0000 0.0000 0.0000
Zr 1.7791 1.7791 1.7791
Fe 4.4477 2.6686 2.6686
Fe 2.6686 4.4477 2.6686
Fe 2.6686 2.6686 4.4477
Fe 4.4477 4.4477 4.4477
```

Its space group is F-43m. The calculation puts the size of the total moment at 6.41 μB/f.u. The value obtained for the density is 8.9 g/cm³. Its formation enthalpy at 0 K is -0.22 eV per atom. The density of states at the Fermi level is 3.4 states/eV/cell. Its volume is 15.0 Å³/atom.

---

# 5
Below is a relaxed structure of Tm2ZrFe9, with properties calculated at the PBE level.

extended XYZ file:
```
12
Lattice="2.4927 1.4392 8.0516 -2.4927 1.4392 8.0516 0.0000 -2.8783 8.0516" Properties=species:S:1:pos:R:3 pbc="T T T"
Tm 0.0000 0.0000 3.4138
Tm 0.0000 0.0000 20.7409
Zr 0.0000 0.0000 0.0000
Fe -1.2483 -0.7207 10.0215
Fe 0.0000 0.0000 8.0416
Fe 0.0000 -1.4414 14.1332
Fe -1.2483 0.7207 14.1332
Fe 0.0000 0.0000 12.0774
Fe 1.2483 -0.7207 10.0216
Fe 0.0000 1.4414 10.0216
Fe 0.0000 0.0000 16.1132
Fe 1.2483 0.7207 14.1332
```

Its space group is R-3m. The calculation puts the size of the total moment at 16.25 μB/f.u. The value obtained for the density is 8.9 g/cm³. Its formation enthalpy at 0 K is -0.12 eV per atom. The density of states at the Fermi level is 10.9 states/eV/cell. Its volume is 14.4 Å³/atom.

---

# 6
Below is a relaxed structure of TmZrFe10, with properties calculated at the PBE level.

extended XYZ file:
```
12
Lattice="3.9496 0.0000 0.0000 0.0000 4.9108 0.0000 0.0000 0.0000 8.4712" Properties=species:S:1:pos:R:3 pbc="T T T"
Tm 0.0000 0.0000 0.0000
Zr 0.0000 2.4554 4.2356
Fe 0.0000 0.0000 2.8522
Fe 0.0000 0.0000 5.6190
Fe 0.0000 2.4554 1.4376
Fe 0.0000 2.4554 7.0336
Fe 1.9748 0.0000 4.2356
Fe 1.9748 1.2346 2.1451
Fe 1.9748 1.2346 6.3261
Fe 1.9748 2.4554 0.0000
Fe 1.9748 3.6762 2.1451
Fe 1.9748 3.6762 6.3261
```

Its space group is Pmmm. The calculation puts the size of the total moment at 19.07 μB/f.u. The value obtained for the density is 8.3 g/cm³. Its formation enthalpy at 0 K is -0.08 eV per atom. The density of states at the Fermi level is 10.3 states/eV/cell. Its volume is 13.7 Å³/atom.

---

# 7
Below is a relaxed structure of UFe3, with properties calculated at the PBE level.

extended XYZ file:
```
4
Lattice="3.7895 0.0000 0.0000 0.0000 3.7895 0.0000 0.0000 0.0000 3.7895" Properties=species:S:1:pos:R:3 pbc="T T T"
U 0.0000 0.0000 0.0000
Fe 0.0000 1.8948 1.8948
Fe 1.8948 0.0000 1.8948
Fe 1.8948 1.8948 0.0000
```

Its space group is Pm-3m. The calculation puts the size of the total moment at 3.44 μB/f.u. The value obtained for the density is 12.4 g/cm³. Its formation enthalpy at 0 K is -0.06 eV per atom. The density of states at the Fermi level is 5.7 states/eV/cell. Its volume is 13.6 Å³/atom.

---

# 8
Below is a relaxed structure of U3Fe, with properties calculated at the PBE level.

extended XYZ file:
```
4
Lattice="-1.4247 5.2194 2.4337 1.4247 -5.2194 2.4337 1.4247 5.2194 -2.4337" Properties=species:S:1:pos:R:3 pbc="T T T"
U 0.0000 0.0000 0.0000
U 1.4247 3.0800 -0.7811
U 0.0000 2.1393 1.6526
Fe 0.0000 5.2194 0.2797
```

Its space group is Imm2. The calculation puts the size of the total moment at 0.00 μB/f.u. The value obtained for the density is 17.7 g/cm³. Its formation enthalpy at 0 K is 0.08 eV per atom. The density of states at the Fermi level is 8.1 states/eV/cell. Its volume is 18.1 Å³/atom.